No. 1
The following is a PBE calculation of crystalline LaEu2Er at its relaxed geometry, from the Alexandria database.

Values from the calculation:
The calculation puts the excess energy over the best structure of this formula in the dataset at 0.0313 eV/atom. The density of states at the Fermi level comes out at 5.11 states/eV/cell. The formation energy comes out at 0.1488 eV per atom. As for the space group: Fm-3m, No. 225. The calculation puts the energy at -29.4 eV per cell.

a b c (Å): 5.9318 5.9318 5.9318
angles (deg): 60.00 60.00 60.00
Fractional positions:
1 La 0.0000 0.0000 0.0000
2 Eu 0.2500 0.2500 0.2500
3 Eu 0.7500 0.7500 0.7500
4 Er 0.5000 0.5000 0.5000


No. 2
The following is a PBE calculation of crystalline FeNi2Pb at its relaxed geometry, from the Alexandria database.

Values from the calculation:
The density of states at the Fermi level comes out at 3.77 states/eV/cell. The formation energy comes out at 0.3094 eV per atom. As for the space group: Cm, No. 8. The calculation puts the energy at -22.5 eV per cell.

a b c (Å): 4.5569 4.5569 4.4373
angles (deg): 104.45 104.45 42.20
Fractional positions:
1 Fe 0.0000 0.0000 0.0000
2 Ni 0.2667 0.2667 0.8406
3 Ni 0.5241 0.5241 0.6088
4 Pb 0.7668 0.7668 0.3364